[1]
# PBE TaBeCo2H, relaxed
# Symmetry: P4/mmm
# Energy (eV per formula unit): -33.18
# Mass density (g/cm³): 10.4
data_TaBeCo2H
_chemical_formula_sum 'Ta1 Be1 Co2 H1'
_space_group_name_H-M_alt 'P 1'
_space_group_IT_number 1
_space_group_name_Hall 'P 1'
_cell_length_a 3.7185
_cell_length_b 3.7185
_cell_length_c 3.5502
_cell_angle_alpha 90.00
_cell_angle_beta 90.00
_cell_angle_gamma 90.00
loop_
_atom_site_label
_atom_site_fract_x
_atom_site_fract_y
_atom_site_fract_z
Be1 0.0000 0.0000 0.5000
Co1 0.0000 0.5000 0.0000
Co2 0.5000 0.0000 0.0000
H1 0.0000 0.0000 0.0000
Ta1 0.5000 0.5000 0.5000

---

[2]
# PBE ScTaGa2, relaxed
# Symmetry: Fm-3m
# Energy (eV per formula unit): -24.92
# Energy relative to the elements (eV per atom): -0.17
# Mass density (g/cm³): 8.6
# E above lowest polymorph (kcal/mol of atoms): 2.13
data_ScTaGa2
_chemical_formula_sum 'Sc1 Ta1 Ga2'
_space_group_name_H-M_alt 'P 1'
_space_group_IT_number 1
_space_group_name_Hall 'P 1'
_cell_length_a 4.6325
_cell_length_b 4.6325
_cell_length_c 4.6325
_cell_angle_alpha 60.00
_cell_angle_beta 60.00
_cell_angle_gamma 60.00
loop_
_atom_site_label
_atom_site_fract_x
_atom_site_fract_y
_atom_site_fract_z
Sc1 0.0000 0.0000 0.0000
Ga1 0.2500 0.2500 0.2500
Ga2 0.7500 0.7500 0.7500
Ta1 0.5000 0.5000 0.5000

---

[3]
# PBE AlBrCl2, relaxed
# Symmetry: P4/mmm
# Energy (eV per formula unit): -10.38
# Mass density (g/cm³): 3.0
# Uncorrected formation energy (meV/atom): -318
# E above lowest polymorph (kcal/mol of atoms): 23.66
data_AlBrCl2
_chemical_formula_sum 'Al1 Br1 Cl2'
_space_group_name_H-M_alt 'P 1'
_space_group_IT_number 1
_space_group_name_Hall 'P 1'
_cell_length_a 3.1842
_cell_length_b 3.1842
_cell_length_c 9.7196
_cell_angle_alpha 90.00
_cell_angle_beta 90.00
_cell_angle_gamma 90.00
loop_
_atom_site_label
_atom_site_fract_x
_atom_site_fract_y
_atom_site_fract_z
Al1 0.5000 0.5000 0.2500
Br1 0.5000 0.5000 0.7500
Cl1 0.0000 0.0000 0.0963
Cl2 0.0000 0.0000 0.4037

---

[4]
# PBE AcTbTlCd, relaxed
# Symmetry: P4mm
# Energy (eV per formula unit): -13.30
# Energy relative to the elements (eV per atom): -0.32
# Mass density (g/cm³): 9.5
# E above lowest polymorph (kcal/mol of atoms): 0.00
data_AcTbTlCd
_chemical_formula_sum 'Ac1 Tb1 Tl1 Cd1'
_space_group_name_H-M_alt 'P 1'
_space_group_IT_number 1
_space_group_name_Hall 'P 1'
_cell_length_a 3.9267
_cell_length_b 3.9267
_cell_length_c 7.9617
_cell_angle_alpha 90.00
_cell_angle_beta 90.00
_cell_angle_gamma 90.00
loop_
_atom_site_label
_atom_site_fract_x
_atom_site_fract_y
_atom_site_fract_z
Ac1 0.5000 0.5000 0.1121
Tb1 0.5000 0.5000 0.6000
Tl1 0.0000 0.0000 0.8260
Cd1 0.0000 0.0000 0.3898

---

[5]
# PBE Fe3GeW, relaxed
# Symmetry: Pm-3m
# Energy (eV per formula unit): -35.20
# Energy relative to the elements (eV per atom): 1.55
# Mass density (g/cm³): 7.6
# E above lowest polymorph (kcal/mol of atoms): 6.12
data_Fe3GeW
_chemical_formula_sum 'Fe3 Ge1 W1'
_space_group_name_H-M_alt 'P 1'
_space_group_IT_number 1
_space_group_name_Hall 'P 1'
_cell_length_a 4.5281
_cell_length_b 4.5281
_cell_length_c 4.5281
_cell_angle_alpha 90.00
_cell_angle_beta 90.00
_cell_angle_gamma 90.00
loop_
_atom_site_label
_atom_site_fract_x
_atom_site_fract_y
_atom_site_fract_z
Ge1 0.5000 0.5000 0.5000
Fe1 0.0000 0.5000 0.0000
Fe2 0.0000 0.0000 0.5000
Fe3 0.5000 0.0000 0.0000
W1 0.0000 0.0000 0.0000

---

[6]
# PBE YTaIn2, relaxed
# Symmetry: Cm
# Energy (eV per formula unit): -23.50
# Energy relative to the elements (eV per atom): 0.07
# Mass density (g/cm³): 9.0
data_YTaIn2
_chemical_formula_sum 'Y1 Ta1 In2'
_space_group_name_H-M_alt 'P 1'
_space_group_IT_number 1
_space_group_name_Hall 'P 1'
_cell_length_a 6.1795
_cell_length_b 6.1795
_cell_length_c 5.3950
_cell_angle_alpha 62.79
_cell_angle_beta 62.79
_cell_angle_gamma 30.46
loop_
_atom_site_label
_atom_site_fract_x
_atom_site_fract_y
_atom_site_fract_z
In1 0.9959 0.9959 0.9353
In2 0.2424 0.2424 0.3355
Ta1 0.5054 0.5054 0.4203
Y1 0.7563 0.7563 0.8089

---

[7]
# PBE SnPd4Au2, relaxed
# Symmetry: P1
# Energy (eV per formula unit): -33.27
# Energy relative to the elements (eV per atom): -0.28
# Mass density (g/cm³): 13.2
# E above lowest polymorph (kcal/mol of atoms): 0.00
data_SnPd4Au2
_chemical_formula_sum 'Sn2 Pd8 Au4'
_space_group_name_H-M_alt 'P 1'
_space_group_IT_number 1
_space_group_name_Hall 'P 1'
_cell_length_a 5.7173
_cell_length_b 7.0670
_cell_length_c 8.3031
_cell_angle_alpha 121.56
_cell_angle_beta 116.81
_cell_angle_gamma 92.96
loop_
_atom_site_label
_atom_site_fract_x
_atom_site_fract_y
_atom_site_fract_z
Sn1 0.3093 0.6229 0.5167
Sn2 0.9662 0.9344 0.9893
Pd1 0.9900 0.2035 0.3920
Pd2 0.2631 0.3450 0.1117
Pd3 0.8323 0.6315 0.5483
Pd4 0.6874 0.0427 0.6823
Pd5 0.4930 0.1973 0.3925
Pd6 0.1846 0.0458 0.6749
Pd7 0.4318 0.8977 0.9537
Pd8 0.1168 0.7722 0.2456
Au1 0.5505 0.4695 0.8127
Au2 0.6276 0.7794 0.2593
Au3 0.7450 0.3397 0.1044
Au4 0.0523 0.4684 0.8166

---

[8]
# PBE TbPm3As4, relaxed
# Symmetry: Cmmm
# Energy (eV per formula unit): -49.71
# Energy relative to the elements (eV per atom): -1.53
# Mass density (g/cm³): 7.0
data_TbPm3As4
_chemical_formula_sum 'Tb1 Pm3 As4'
_space_group_name_H-M_alt 'P 1'
_space_group_IT_number 1
_space_group_name_Hall 'P 1'
_cell_length_a 4.2173
_cell_length_b 7.2968
_cell_length_c 7.2968
_cell_angle_alpha 109.47
_cell_angle_beta 90.00
_cell_angle_gamma 90.00
loop_
_atom_site_label
_atom_site_fract_x
_atom_site_fract_y
_atom_site_fract_z
Tb1 0.5000 0.0000 0.0000
Pm1 0.0000 0.0000 0.5000
Pm2 0.5000 0.5000 0.5000
Pm3 0.0000 0.5000 0.0000
As1 0.0000 0.2460 0.2460
As2 0.5000 0.7521 0.2479
As3 0.0000 0.7540 0.7540
As4 0.5000 0.2479 0.7521

---

[9]
# PBE Hf6CuO, relaxed
# Symmetry: P-1
# Energy (eV per formula unit): -72.48
# Mass density (g/cm³): 12.3
# Uncorrected formation energy (meV/atom): -463
data_Hf6CuO
_chemical_formula_sum 'Hf6 Cu1 O1'
_space_group_name_H-M_alt 'P 1'
_space_group_IT_number 1
_space_group_name_Hall 'P 1'
_cell_length_a 5.7159
_cell_length_b 6.0594
_cell_length_c 6.0104
_cell_angle_alpha 65.61
_cell_angle_beta 64.27
_cell_angle_gamma 58.25
loop_
_atom_site_label
_atom_site_fract_x
_atom_site_fract_y
_atom_site_fract_z
Hf1 0.0590 0.3899 0.7731
Hf2 0.7639 0.0314 0.7593
Hf3 0.5747 0.2216 0.2389
Hf4 0.2361 0.9686 0.2407
Hf5 0.9410 0.6101 0.2269
Hf6 0.4253 0.7784 0.7611
Cu1 0.5000 0.5000 0.5000
O1 0.0000 0.0000 0.0000

---

What is the mass density in the sixth record? 9.0 g/cm³

---

Which of these has the lowest energy? Hf6CuO

---

Which formula does entry 5 have? Fe3GeW